Compound: Sm5Cd2Au2
Source: the Alexandria database
Functional: PBE-GGA
Structure: optimized geometry

```
data_Sm5Cd2Au2
_space_group_name_H-M_alt 'C m c e'
_space_group_IT_number 64
_space_group_name_Hall '-C 2ac 2'
_cell_length_a 16.784
_cell_length_b 7.382
_cell_length_c 8.241
_cell_angle_alpha 90.00
_cell_angle_beta 90.00
_cell_angle_gamma 90.00
loop_
_atom_site_label
_atom_site_type_symbol
_atom_site_fract_x
_atom_site_fract_y
_atom_site_fract_z
Sm1 Sm 0.000 0.000 0.000
Sm2 Sm 0.131 0.173 0.322
Cd1 Cd 0.217 0.000 0.000
Au1 Au 0.000 0.123 0.636
```

Properties
The calculation puts the magnetic moment at 0.0 μB per formula unit. For the formation enthalpy at 0 K, the calculation gives -0.429 eV/atom.